(1)
Y3Cl | the Alexandria database | PBE | relaxed; ΔE_f (raw) = -327 meV/atom; energy relative to the lowest polymorph listed for this composition = 332 meV/atom
1.0
3.5587 0.0000 0.0000
0.0000 5.8857 0.0000
0.0000 0.0000 6.2617
Cl Y
1 3
direct
0.0000 0.0000 0.1532
0.5000 0.0000 0.4805
0.5000 0.5000 0.7488
0.0000 0.5000 0.2841

(2)
CdH2Pd3 | the Alexandria database | PBE | relaxed; energy relative to the lowest polymorph listed for this composition = 73 meV/atom
1.0
-0.0875 1.6786 -5.2878
-3.9058 -3.8172 -1.1471
-1.3597 4.1893 4.2634
Cd H Pd
2 4 6
direct
0.5353 0.2500 0.5000
0.4647 0.7500 0.5000
0.0657 0.8953 0.7906
0.2250 0.3953 0.7906
0.7750 0.6047 0.2094
0.9343 0.1047 0.2094
0.0000 0.7532 0.0000
0.0000 0.2468 0.0000
0.5000 0.7468 0.0000
0.0000 0.0000 0.5000
0.0000 0.5000 0.5000
0.5000 0.2532 0.0000

Q: Look up the energy relative to the lowest polymorph listed for this composition of the second one.
A: 73 meV/atom